1.
Below is an optimized crystal structure of AlPdSCl2, with properties calculated at the PBE level.

POSCAR file:
```
AlPdSCl2
1.0
4.605 0.000 0.000
0.000 4.605 0.000
0.000 0.000 4.800
S Al Pd Cl
1 1 1 2
direct
0.000 0.000 0.500
0.000 0.000 0.000
0.500 0.500 0.500
0.000 0.500 0.000
0.500 0.000 0.000
```

Values from the calculation:
- E above lowest polymorph (eV/atom) = 0.0000

2.
Below is an optimized crystal structure of Rb2BaSi, with properties calculated at the PBE level.

POSCAR file:
```
Rb2BaSi
1.0
-1.719 1.971 -4.454
-4.681 -1.975 0.933
-6.765 11.505 4.707
Si Ba Rb
2 2 4
direct
0.500 0.500 0.000
0.250 0.750 0.500
0.000 0.000 0.000
0.750 0.250 0.500
0.599 0.125 0.250
0.151 0.625 0.250
0.375 0.401 0.750
0.875 0.849 0.750
```

Values from the calculation:
- DFT total energy (eV per cell) = -15.644

3.
Below is an optimized crystal structure of DyScAlZn, with properties calculated at the PBE level.

POSCAR file:
```
DyScAlZn
1.0
-2.081 0.717 4.410
1.948 -2.094 4.014
2.273 2.782 3.374
Sc Zn Al Dy
1 1 1 1
direct
0.250 0.250 0.250
0.000 0.000 0.000
0.500 0.500 0.500
0.750 0.750 0.750
```

Values from the calculation:
- energy relative to the elements (eV per atom) = -0.38

4.
Below is an optimized crystal structure of AlVS3, with properties calculated at the PBE level.

POSCAR file:
```
AlVS3
1.0
4.567 0.000 0.000
0.000 4.567 0.000
0.000 0.000 4.567
S Al V
3 1 1
direct
0.000 0.500 0.000
0.000 0.000 0.500
0.500 0.000 0.000
0.000 0.000 0.000
0.500 0.500 0.500
```

Values from the calculation:
- E above lowest polymorph (eV/atom) = 0.9438

5.
Below is an optimized crystal structure of HoEr4Ag, with properties calculated at the PBE level.

POSCAR file:
```
HoEr4Ag
1.0
-2.185 1.434 2.340
-2.533 0.098 -2.425
-4.167 -12.622 3.845
Ho Er Ag
1 4 1
direct
0.000 0.000 0.000
0.500 0.500 0.820
0.500 0.500 0.180
0.000 0.000 0.638
0.000 0.000 0.362
0.500 0.500 0.500
```

Values from the calculation:
- energy relative to the elements (eV per atom) = -0.08
- E above lowest polymorph (eV/atom) = 0.0000

6.
Below is an optimized crystal structure of HS2I, with properties calculated at the PBE level.

POSCAR file:
```
HS2I
1.0
0.000 3.301 3.301
3.301 0.000 3.301
3.301 3.301 0.000
I H S
1 1 2
direct
0.500 0.500 0.500
0.000 0.000 0.000
0.250 0.250 0.250
0.750 0.750 0.750
```

Values from the calculation:
- E above lowest polymorph (eV/atom) = 0.7764

7.
Below is an optimized crystal structure of KBaAsS4, with properties calculated at the PBE level.

POSCAR file:
```
KBaAsS4
1.0
-3.023 -0.165 6.358
-2.359 -6.328 -1.286
8.531 -3.452 1.336
K Ba As S
2 2 2 8
direct
0.746 0.750 0.949
0.254 0.250 0.051
0.770 0.750 0.455
0.230 0.250 0.545
0.204 0.750 0.295
0.796 0.250 0.705
0.991 0.503 0.750
0.009 0.003 0.250
0.009 0.497 0.250
0.991 0.997 0.750
0.414 0.750 0.159
0.586 0.250 0.841
0.346 0.750 0.535
0.654 0.250 0.465
```

Values from the calculation:
- DFT total energy (eV per cell) = -62.817

8.
Below is an optimized crystal structure of AgSn2Pb2, with properties calculated at the PBE level.

POSCAR file:
```
AgSn2Pb2
1.0
-0.573 3.872 1.497
-4.049 -0.187 -1.066
-4.178 -1.395 7.877
Pb Sn Ag
2 2 1
direct
0.405 0.405 0.189
0.595 0.595 0.811
0.750 0.250 0.500
0.250 0.750 0.500
0.000 0.000 0.000
```

Values from the calculation:
- energy relative to the elements (eV per atom) = 0.21
- E above lowest polymorph (eV/atom) = 0.1764

9.
Below is an optimized crystal structure of NaPdN2, with properties calculated at the PBE level.

POSCAR file:
```
NaPdN2
1.0
5.333 -2.970 2.756
5.088 -4.353 -0.121
6.524 -1.506 0.170
Na Pd N
1 1 2
direct
0.000 0.000 0.000
0.500 0.500 0.500
0.884 0.884 0.884
0.116 0.116 0.116
```

Values from the calculation:
- E above lowest polymorph (eV/atom) = 0.9486

10.
Below is an optimized crystal structure of NdDy7In2, with properties calculated at the PBE level.

POSCAR file:
```
NdDy7In2
1.0
5.542 0.000 0.000
0.000 8.881 -0.153
0.000 -4.055 7.903
Nd Dy In
1 7 2
direct
0.000 0.000 0.000
0.000 0.766 0.234
0.000 0.234 0.766
0.500 0.058 0.303
0.500 0.942 0.697
0.500 0.303 0.058
0.500 0.697 0.942
0.500 0.500 0.500
0.500 0.697 0.303
0.500 0.303 0.697
```

Values from the calculation:
- energy relative to the elements (eV per atom) = 0.34

11.
Below is an optimized crystal structure of Ba2SrCaAu, with properties calculated at the PBE level.

POSCAR file:
```
Ba2SrCaAu
1.0
-2.683 1.827 -3.511
-3.561 0.738 3.105
8.005 20.178 4.385
Ba Sr Ca Au
4 2 2 2
direct
0.000 0.500 0.777
0.000 0.500 0.074
0.500 0.000 0.926
0.500 0.000 0.223
0.500 0.000 0.646
0.000 0.500 0.354
0.000 0.000 0.500
0.500 0.500 0.500
0.500 0.000 0.077
0.000 0.500 0.923
```

Values from the calculation:
- energy relative to the elements (eV per atom) = -0.18
- E above lowest polymorph (eV/atom) = 0.1305

12.
Below is an optimized crystal structure of CrSiP2, with properties calculated at the PBE level.

POSCAR file:
```
CrSiP2
1.0
4.543 -0.081 -0.020
1.132 4.400 0.020
-2.299 -2.868 2.672
Cr P Si
1 2 1
direct
0.750 0.250 0.500
0.020 0.020 0.000
0.480 0.480 0.000
0.250 0.750 0.500
```

Values from the calculation:
- DFT total energy (eV per cell) = -24.971